(1)
Computed, not measured: a relaxed Cs2Mn2TlF7 crystal at the GGA+U level of DFT.

Spin magnetization   20.00 μB per cell
DOS at the Fermi energy   0.000 states/eV/cell
Crystal system   monoclinic
Calculated total energy   -5.255 eV/atom

Cell: 6.1719 6.1714 12.1614 Å, 90.00 104.65 90.00°
Space group C2/m (No. 12)
Inequivalent atoms, fractional coordinates:
Cs (0.1842, 0.0000, 0.3701) x4
Mn (0.0905, 0.5000, 0.1824) x4
Tl (0.0000, 0.0000, 0.0000) x2
F (0.0000, 0.5000, 0.0000) x2
F (0.1599, 0.2500, 0.8184) x8
F (0.1813, 0.5000, 0.3642) x4

***

(2)
Computed, not measured: a relaxed Cs3Mn2TlF8 crystal at the GGA+U level of DFT.

Spin magnetization   10.00 μB per cell
DOS at the Fermi energy   0.000 states/eV/cell
Crystal system   trigonal
Calculated total energy   -5.020 eV/atom

Cell: 6.7184 6.7184 8.6182 Å, 90.00 90.00 120.00°
Space group P-3m1 (No. 164)
Inequivalent atoms, fractional coordinates:
Cs (0.0000, 0.0000, 0.0000) x1
Cs (0.3333, 0.6667, 0.6446) x2
Mn (0.3333, 0.6667, 0.1933) x2
Tl (0.0000, 0.0000, 0.5000) x1
F (0.1766, 0.3532, 0.2948) x6
F (0.3333, 0.6667, 0.9641) x2

***

(3)
Computed, not measured: a relaxed CsMnTlF4 crystal at the GGA+U level of DFT.

Spin magnetization   10.00 μB per cell
DOS at the Fermi energy   0.000 states/eV/cell
Crystal system   tetragonal
Calculated total energy   -5.056 eV/atom

Cell: 4.3348 4.3348 14.8654 Å, 90.00 90.00 90.00°
Space group I4mm (No. 107)
Inequivalent atoms, fractional coordinates:
Cs (0.0000, 0.0000, 0.0000) x2
Mn (0.0000, 0.0000, 0.3423) x2
Tl (0.0000, 0.0000, 0.7087) x2
F (0.0000, 0.0000, 0.1991) x2
F (0.0000, 0.0000, 0.4846) x2
F (0.0000, 0.5000, 0.3380) x4

***

(4)
Computed, not measured: a relaxed Cs4Mn3TlF12 crystal at the GGA+U level of DFT.

Spin magnetization   28.00 μB per cell
DOS at the Fermi energy   6.180 states/eV/cell
Crystal system   cubic
Calculated total energy   -5.139 eV/atom

Cell: 9.0409 9.0409 9.0409 Å, 90.00 90.00 90.00°
Space group Im-3m (No. 229)
Inequivalent atoms, fractional coordinates:
Cs (0.2500, 0.2500, 0.2500) x8
Mn (0.0000, 0.0000, 0.5000) x6
Tl (0.0000, 0.0000, 0.0000) x2
F (0.0000, 0.0000, 0.2814) x12
F (0.0000, 0.2500, 0.5000) x12

***

(5)
Computed, not measured: a relaxed CsMnTlF6 crystal at the GGA+U level of DFT.

Spin magnetization   5.97 μB per cell
DOS at the Fermi energy   0.000 states/eV/cell
Crystal system   trigonal
Calculated total energy   -4.792 eV/atom

Cell: 6.5807 6.5807 10.4537 Å, 90.00 90.00 120.00°
Space group P-31c (No. 163)
Inequivalent atoms, fractional coordinates:
Cs (0.0000, 0.0000, 0.0000) x2
Mn (0.3333, 0.6667, 0.2500) x2
Tl (0.3333, 0.6667, 0.7500) x2
F (0.1024, 0.4355, 0.1486) x12

***

(6)
Computed, not measured: a relaxed CsMnVF6 crystal at the GGA+U level of DFT.

Spin magnetization   28.00 μB per cell
DOS at the Fermi energy   0.000 states/eV/cell
Crystal system   orthorhombic
Calculated total energy   -5.868 eV/atom

Cell: 7.6191 7.6854 10.7860 Å, 90.00 90.00 90.00°
Space group Imma (No. 74)
Inequivalent atoms, fractional coordinates:
Cs (0.0000, 0.2500, 0.1223) x4
Mn (0.2500, 0.2500, 0.7500) x4
V (0.0000, 0.0000, 0.5000) x4
F (0.0000, 0.2500, 0.4416) x4
F (0.0000, 0.2500, 0.8312) x4
F (0.1832, 0.0435, 0.6230) x16

***

(7)
Computed, not measured: a relaxed Cs2YMn3F12 crystal at the GGA+U level of DFT.

Spin magnetization   42.00 μB per cell
DOS at the Fermi energy   1.308 states/eV/cell
Crystal system   trigonal
Calculated total energy   -5.970 eV/atom

Cell: 7.6849 7.6849 19.6791 Å, 90.00 90.00 120.00°
Space group R-3m (No. 166, hexagonal axes)
Inequivalent atoms, fractional coordinates:
Cs (0.0000, 0.0000, 0.1164) x6
Y (0.0000, 0.0000, 0.5000) x3
Mn (0.0000, 0.5000, 0.0000) x9
F (0.0528, 0.5264, 0.1078) x18
F (0.0792, 0.5396, 0.3460) x18

***

(8)
Computed, not measured: a relaxed CsMnZn2F8 crystal at the GGA+U level of DFT.

Spin magnetization   6.00 μB per cell
DOS at the Fermi energy   19.146 states/eV/cell
Crystal system   trigonal
Calculated total energy   -4.392 eV/atom

Cell: 5.3069 5.3069 25.3657 Å, 90.00 90.00 120.00°
Space group R-3 (No. 148, hexagonal axes)
Inequivalent atoms, fractional coordinates:
Cs (0.0000, 0.0000, 0.0000) x3
Mn (0.0000, 0.0000, 0.5000) x3
Zn (0.0000, 0.0000, 0.2332) x6
F (0.0000, 0.0000, 0.3067) x6
F (0.9998, 0.2969, 0.5431) x18

***

(9)
Computed, not measured: a relaxed Cs2MnZn3F12 crystal at the GGA+U level of DFT.

Spin magnetization   8.99 μB per cell
Crystal system   trigonal
Calculated total energy   -4.418 eV/atom

Cell: 7.3791 7.3791 18.8904 Å, 90.00 90.00 120.00°
Space group R-3m (No. 166, hexagonal axes)
Inequivalent atoms, fractional coordinates:
Cs (0.0000, 0.0000, 0.1158) x6
Mn (0.0000, 0.0000, 0.5000) x3
Zn (0.0000, 0.5000, 0.0000) x9
F (0.0708, 0.5354, 0.3600) x18
F (0.0940, 0.5470, 0.1116) x18

***

(10)
Computed, not measured: a relaxed CsMo2F11 crystal at the GGA+U level of DFT.

Spin magnetization   8.00 μB per cell
DOS at the Fermi energy   0.000 states/eV/cell
Crystal system   orthorhombic
Calculated total energy   -4.987 eV/atom

Cell: 8.7796 11.4411 11.7681 Å, 90.00 90.00 90.00°
Space group Ibam (No. 72)
Inequivalent atoms, fractional coordinates:
Cs (0.0000, 0.0000, 0.2500) x4
Mo (0.0863, 0.3302, 0.0000) x8
F (0.0000, 0.5000, 0.0000) x4
F (0.0933, 0.2070, 0.1098) x16
F (0.1289, 0.3125, 0.5000) x8
F (0.2128, 0.3969, 0.1156) x16

***

(11)
Computed, not measured: a relaxed CsMoF2 crystal at the GGA+U level of DFT.

E above lowest polymorph   0 meV/atom
Spin magnetization   12.91 μB per cell
DOS at the Fermi energy   1.679 states/eV/cell
Crystal system   trigonal

Cell: 4.0190 4.0190 23.3903 Å, 90.00 90.00 120.00°
Space group R-3m (No. 166, hexagonal axes)
Inequivalent atoms, fractional coordinates:
Cs (0.0000, 0.0000, 0.0000) x3
Mo (0.0000, 0.0000, 0.5000) x3
F (0.0000, 0.0000, 0.4098) x6

***

(12)
Computed, not measured: a relaxed Cs3MoF6 crystal at the GGA+U level of DFT.

Spin magnetization   6.00 μB per cell
DOS at the Fermi energy   0.000 states/eV/cell
Crystal system   tetragonal
Calculated total energy   -4.796 eV/atom

Cell: 7.0366 7.0366 10.0807 Å, 90.00 90.00 90.00°
Space group I4/mmm (No. 139)
Inequivalent atoms, fractional coordinates:
Cs (0.0000, 0.0000, 0.0000) x2
Cs (0.0000, 0.5000, 0.2500) x4
Mo (0.0000, 0.0000, 0.5000) x2
F (0.0000, 0.0000, 0.2866) x4
F (0.0000, 0.2974, 0.5000) x8

***

(13)
Computed, not measured: a relaxed CsMoF2 crystal at the GGA+U level of DFT.

E above lowest polymorph   428 meV/atom
Spin magnetization   20.00 μB per cell
DOS at the Fermi energy   0.000 states/eV/cell
Crystal system   cubic

Cell: 6.9098 6.9098 6.9098 Å, 90.00 90.00 90.00°
Space group Fm-3m (No. 225)
Inequivalent atoms, fractional coordinates:
Cs (0.0000, 0.0000, 0.0000) x4
Mo (0.0000, 0.0000, 0.5000) x4
F (0.2500, 0.2500, 0.2500) x8

***

(14)
Computed, not measured: a relaxed Cs4MoF8 crystal at the GGA+U level of DFT.

Spin magnetization   0.47 μB per cell
DOS at the Fermi energy   0.000 states/eV/cell
Crystal system   trigonal
Calculated total energy   -4.451 eV/atom

Cell: 10.3534 10.3534 14.0642 Å, 90.00 90.00 120.00°
Space group R-3m (No. 166, hexagonal axes)
Inequivalent atoms, fractional coordinates:
Cs (0.0000, 0.0000, 0.0000) x3
Cs (0.0000, 0.5000, 0.0000) x9
Mo (0.0000, 0.0000, 0.5000) x3
F (0.0000, 0.0000, 0.1991) x6
F (0.0974, 0.1947, 0.5701) x18

***

(15)
Computed, not measured: a relaxed Cs3Mo5F12 crystal at the GGA+U level of DFT.

Spin magnetization   168.00 μB per cell
DOS at the Fermi energy   25.563 states/eV/cell
Crystal system   cubic
Calculated total energy   -5.021 eV/atom

Cell: 15.1712 15.1712 15.1712 Å, 90.00 90.00 90.00°
Space group Ia-3d (No. 230)
Inequivalent atoms, fractional coordinates:
Cs (0.0000, 0.2500, 0.1250) x24
Mo (0.0000, 0.0000, 0.0000) x16
Mo (0.0000, 0.2500, 0.3750) x24
F (0.0302, 0.0467, 0.6279) x96

***

(16)
Computed, not measured: a relaxed Cs4MoF7 crystal at the GGA+U level of DFT.

Spin magnetization   6.00 μB per cell
DOS at the Fermi energy   0.000 states/eV/cell
Crystal system   monoclinic
Calculated total energy   -4.668 eV/atom

Cell: 16.2857 4.3139 10.7787 Å, 90.00 121.41 90.00°
Space group C2/m (No. 12)
Inequivalent atoms, fractional coordinates:
Cs (0.0344, 0.0000, 0.3350) x4
Cs (0.2497, 0.0000, 0.1888) x4
Mo (0.0000, 0.5000, 0.0000) x2
F (0.0000, 0.0000, 0.0000) x2
F (0.1000, 0.5000, 0.9328) x4
F (0.1116, 0.5000, 0.2180) x4
F (0.1297, 0.0000, 0.6416) x4

***

(17)
Computed, not measured: a relaxed Cs2MoF5 crystal at the GGA+U level of DFT.

E above lowest polymorph   0 meV/atom
Spin magnetization   3.00 μB per cell
DOS at the Fermi energy   0.000 states/eV/cell
Crystal system   tetragonal

Cell: 6.7897 6.7897 4.2564 Å, 90.00 90.00 90.00°
Space group P4/mmm (No. 123)
Inequivalent atoms, fractional coordinates:
Cs (0.0000, 0.5000, 0.0000) x2
Mo (0.0000, 0.0000, 0.5000) x1
F (0.0000, 0.0000, 0.0000) x1
F (0.2174, 0.2174, 0.5000) x4